# 1
# AlCoNO GGA+U relaxed
data_AlCoNO
_symmetry_space_group_name_H-M 'P m c 21'
_symmetry_Int_Tables_number 26
_cell_length_a 3.104
_cell_length_b 5.519
_cell_length_c 5.179
_cell_angle_alpha 90.00
_cell_angle_beta 90.00
_cell_angle_gamma 90.00
loop_
_symmetry_equiv_pos_as_xyz
'x,y,z'
'-x,-y,z+1/2'
'-x,y,z'
'x,-y,z+1/2'
loop_
_atom_site_label
_atom_site_fract_x
_atom_site_fract_y
_atom_site_fract_z
Al1 0.000 0.153 0.000
Co1 0.500 0.326 0.494
N1 0.000 0.152 0.355
O1 0.500 0.312 0.898
# ρ = 4.34 g/cm3
# ΔE to the lowest computed polymorph = 0.051 eV per atom
# DFT total energy = -6.7253 eV per atom
# M_tot = 6.0 μB/cell


# 2
# AlCoNO GGA+U relaxed
data_AlCoNO
_symmetry_space_group_name_H-M 'P m c 21'
_symmetry_Int_Tables_number 26
_cell_length_a 3.163
_cell_length_b 5.565
_cell_length_c 5.011
_cell_angle_alpha 90.00
_cell_angle_beta 90.00
_cell_angle_gamma 90.00
loop_
_symmetry_equiv_pos_as_xyz
'x,y,z'
'-x,-y,z+1/2'
'-x,y,z'
'x,-y,z+1/2'
loop_
_atom_site_label
_atom_site_fract_x
_atom_site_fract_y
_atom_site_fract_z
Al1 0.000 0.170 0.000
Co1 0.500 0.341 0.503
N1 0.500 0.315 0.903
O1 0.000 0.135 0.363
# ρ = 4.36 g/cm3
# ΔE to the lowest computed polymorph = 0.000 eV per atom
# DFT total energy = -6.7762 eV per atom
# M_tot = 6.0 μB/cell


# 3
# AlCoNO GGA+U relaxed
data_AlCoNO
_symmetry_space_group_name_H-M 'P 4/n m m'
_symmetry_Int_Tables_number 129
_cell_length_a 3.484
_cell_length_b 3.484
_cell_length_c 6.055
_cell_angle_alpha 90.00
_cell_angle_beta 90.00
_cell_angle_gamma 90.00
loop_
_symmetry_equiv_pos_as_xyz
'x,y,z'
'-x,-y,-z'
'-y+1/2,x,z'
'y+1/2,-x,-z'
'-x+1/2,-y+1/2,z'
'x+1/2,y+1/2,-z'
'y,-x+1/2,z'
'-y,x+1/2,-z'
'x+1/2,-y,-z'
'-x+1/2,y,z'
'-y,-x,-z'
'y,x,z'
'-x,y+1/2,-z'
'x,-y+1/2,z'
'y+1/2,x+1/2,-z'
'-y+1/2,-x+1/2,z'
loop_
_atom_site_label
_atom_site_fract_x
_atom_site_fract_y
_atom_site_fract_z
Al1 0.250 0.250 0.128
Co1 0.250 0.750 0.500
N1 0.250 0.250 0.626
O1 0.250 0.750 0.000
# ρ = 5.24 g/cm3
# ΔE to the lowest computed polymorph = 0.558 eV per atom
# DFT total energy = -6.2186 eV per atom
# M_tot = 1.9 μB/cell


# 4
# AlCoNO GGA+U relaxed
data_AlCoNO
_symmetry_space_group_name_H-M 'P 4/n m m'
_symmetry_Int_Tables_number 129
_cell_length_a 3.829
_cell_length_b 3.829
_cell_length_c 5.954
_cell_angle_alpha 90.00
_cell_angle_beta 90.00
_cell_angle_gamma 90.00
loop_
_symmetry_equiv_pos_as_xyz
'x,y,z'
'-x,-y,-z'
'-y+1/2,x,z'
'y+1/2,-x,-z'
'-x+1/2,-y+1/2,z'
'x+1/2,y+1/2,-z'
'y,-x+1/2,z'
'-y,x+1/2,-z'
'x+1/2,-y,-z'
'-x+1/2,y,z'
'-y,-x,-z'
'y,x,z'
'-x,y+1/2,-z'
'x,-y+1/2,z'
'y+1/2,x+1/2,-z'
'-y+1/2,-x+1/2,z'
loop_
_atom_site_label
_atom_site_fract_x
_atom_site_fract_y
_atom_site_fract_z
Al1 0.250 0.750 0.000
Co1 0.250 0.250 0.424
N1 0.250 0.250 0.043
O1 0.250 0.750 0.500
# ρ = 4.41 g/cm3
# ΔE to the lowest computed polymorph = 0.515 eV per atom
# DFT total energy = -6.2613 eV per atom
# M_tot = 2.0 μB/cell


# 5
# AlCoNO GGA+U relaxed
data_AlCoNO
_symmetry_space_group_name_H-M 'P 4/n m m'
_symmetry_Int_Tables_number 129
_cell_length_a 4.083
_cell_length_b 4.083
_cell_length_c 4.228
_cell_angle_alpha 90.00
_cell_angle_beta 90.00
_cell_angle_gamma 90.00
loop_
_symmetry_equiv_pos_as_xyz
'x,y,z'
'-x,-y,-z'
'-y+1/2,x,z'
'y+1/2,-x,-z'
'-x+1/2,-y+1/2,z'
'x+1/2,y+1/2,-z'
'y,-x+1/2,z'
'-y,x+1/2,-z'
'x+1/2,-y,-z'
'-x+1/2,y,z'
'-y,-x,-z'
'y,x,z'
'-x,y+1/2,-z'
'x,-y+1/2,z'
'y+1/2,x+1/2,-z'
'-y+1/2,-x+1/2,z'
loop_
_atom_site_label
_atom_site_fract_x
_atom_site_fract_y
_atom_site_fract_z
Al1 0.250 0.750 0.000
Co1 0.250 0.250 0.499
N1 0.250 0.250 0.998
O1 0.250 0.750 0.500
# ρ = 5.46 g/cm3
# ΔE to the lowest computed polymorph = 0.241 eV per atom
# DFT total energy = -6.5352 eV per atom
# M_tot = 5.3 μB/cell


Please write out number 4 again, unchanged.
# AlCoNO GGA+U relaxed
data_AlCoNO
_symmetry_space_group_name_H-M 'P 4/n m m'
_symmetry_Int_Tables_number 129
_cell_length_a 3.829
_cell_length_b 3.829
_cell_length_c 5.954
_cell_angle_alpha 90.00
_cell_angle_beta 90.00
_cell_angle_gamma 90.00
loop_
_symmetry_equiv_pos_as_xyz
'x,y,z'
'-x,-y,-z'
'-y+1/2,x,z'
'y+1/2,-x,-z'
'-x+1/2,-y+1/2,z'
'x+1/2,y+1/2,-z'
'y,-x+1/2,z'
'-y,x+1/2,-z'
'x+1/2,-y,-z'
'-x+1/2,y,z'
'-y,-x,-z'
'y,x,z'
'-x,y+1/2,-z'
'x,-y+1/2,z'
'y+1/2,x+1/2,-z'
'-y+1/2,-x+1/2,z'
loop_
_atom_site_label
_atom_site_fract_x
_atom_site_fract_y
_atom_site_fract_z
Al1 0.250 0.750 0.000
Co1 0.250 0.250 0.424
N1 0.250 0.250 0.043
O1 0.250 0.750 0.500
# ρ = 4.41 g/cm3
# ΔE to the lowest computed polymorph = 0.515 eV per atom
# DFT total energy = -6.2613 eV per atom
# M_tot = 2.0 μB/cell


Q: Among the records above, which one has the lowest ΔE to the lowest computed polymorph?
A: number 2